No. 1
Computed, not measured: crystalline FeSiS at its relaxed geometry at the PBE level of DFT.

Cell lengths 3.213, 4.344, 4.344 Å; angles 47.57, 90.00, 90.00 degrees
Fractional positions:
1 Fe 0.000 0.000 0.000
2 Si 0.500 0.483 0.483
3 S 0.000 0.279 0.279

symmetry = Amm2 (38)
E_tot = -18.12 eV per formula unit
crystal system = orthorhombic


No. 2
Computed, not measured: crystalline FeSiS at its relaxed geometry at the PBE level of DFT.

Cell lengths 2.740, 3.090, 4.710 Å; angles 90.00, 90.00, 90.00 degrees
Fractional positions:
1 Fe 0.000 0.000 0.000
2 Si 0.500 0.500 0.261
3 S 0.500 0.000 0.641

symmetry = Pmm2 (25)
E_tot = -18.33 eV per formula unit
crystal system = orthorhombic


No. 3
Computed, not measured: crystalline FeSiS2 at its relaxed geometry at the PBE level of DFT.

Cell lengths 7.639, 7.639, 7.639 Å; angles 24.50, 24.50, 24.50 degrees
Fractional positions:
1 Fe 0.000 0.000 0.000
2 Si 0.500 0.500 0.500
3 S 0.390 0.390 0.390
4 S 0.610 0.610 0.610

symmetry = R-3m (166)
E_tot = -22.14 eV per formula unit
crystal system = trigonal


No. 4
Computed, not measured: crystalline Fe2SiS4 at its relaxed geometry at the PBE level of DFT.

Cell lengths 12.034, 6.940, 5.771 Å; angles 90.00, 90.00, 90.00 degrees
Fractional positions:
1 Fe 0.000 0.000 0.000
2 Fe 0.000 0.500 0.000
3 Fe 0.243 0.250 0.498
4 Fe 0.257 0.750 0.998
5 Fe 0.500 0.000 0.500
6 Fe 0.500 0.500 0.500
7 Fe 0.743 0.250 0.002
8 Fe 0.757 0.750 0.502
9 Si 0.087 0.750 0.407
10 Si 0.413 0.250 0.907
11 Si 0.587 0.750 0.093
12 Si 0.913 0.250 0.593
13 S 0.076 0.250 0.745
14 S 0.090 0.750 0.778
15 S 0.168 0.506 0.251
16 S 0.168 0.994 0.251
17 S 0.332 0.006 0.751
18 S 0.332 0.494 0.751
19 S 0.410 0.250 0.278
20 S 0.424 0.750 0.245
21 S 0.576 0.250 0.755
22 S 0.590 0.750 0.722
23 S 0.668 0.506 0.249
24 S 0.668 0.994 0.249
25 S 0.832 0.006 0.749
26 S 0.832 0.494 0.749
27 S 0.910 0.250 0.222
28 S 0.924 0.750 0.255

symmetry = Pnma (62)
E_tot = -41.17 eV per formula unit
crystal system = orthorhombic